No. 1
Here is an optimized crystal structure of PmPr5SmY2 from Alexandria via LeMat-Bulk. Energies are from PBE-GGA.

Geometry as POSCAR:
```
PmPr5SmY2
1.0
-4.732 4.732 7.204
4.732 -4.732 7.204
4.732 4.732 -7.204
Pm Pr Sm Y
2 10 2 4
direct
0.250 0.250 0.000
0.750 0.750 0.000
0.000 0.000 0.000
0.069 0.569 0.905
0.164 0.069 0.500
0.336 0.836 0.905
0.431 0.336 0.500
0.500 0.500 0.000
0.569 0.664 0.500
0.664 0.164 0.095
0.836 0.931 0.500
0.931 0.431 0.095
0.250 0.750 0.500
0.750 0.250 0.500
0.109 0.391 0.500
0.391 0.891 0.282
0.609 0.109 0.718
0.891 0.609 0.500
```


No. 2
Here is an optimized crystal structure of Pm6PrSm3Y2 from Alexandria via LeMat-Bulk. Energies are from PBE-GGA.

Geometry as POSCAR:
```
Pm6PrSm3Y2
1.0
3.153 -5.460 0.000
3.153 5.460 0.000
-2.104 0.000 11.879
Pm Pr Sm Y
6 1 3 2
direct
0.084 0.417 0.750
0.250 0.250 0.250
0.417 0.084 0.750
0.583 0.916 0.250
0.750 0.750 0.750
0.916 0.583 0.250
0.000 0.000 0.500
0.167 0.833 0.000
0.500 0.500 0.000
0.833 0.167 0.000
0.333 0.667 0.500
0.667 0.333 0.500
```


No. 3
Here is an optimized crystal structure of PmPrSm2Y6 from Alexandria via LeMat-Bulk. Energies are from PBE-GGA.

Geometry as POSCAR:
```
PmPrSm2Y6
1.0
4.583 -7.551 0.000
4.583 7.551 0.000
-1.604 0.000 9.706
Pm Pr Sm Y
2 2 4 12
direct
0.094 0.906 0.750
0.906 0.094 0.250
0.480 0.520 0.250
0.520 0.480 0.750
0.209 0.308 0.955
0.308 0.209 0.455
0.692 0.791 0.545
0.791 0.692 0.045
0.009 0.798 0.382
0.072 0.522 0.183
0.202 0.991 0.118
0.242 0.619 0.557
0.381 0.758 0.943
0.478 0.928 0.317
0.522 0.072 0.683
0.619 0.242 0.057
0.758 0.381 0.443
0.798 0.009 0.882
0.928 0.478 0.817
0.991 0.202 0.618
```


No. 4
Here is an optimized crystal structure of PmPr2SmY2 from Alexandria via LeMat-Bulk. Energies are from PBE-GGA.

Geometry as POSCAR:
```
PmPr2SmY2
1.0
6.698 0.000 0.000
0.000 18.308 0.000
0.000 0.000 3.432
Pm Pr Sm Y
2 4 2 4
direct
0.000 0.000 0.000
0.500 0.500 0.500
0.225 0.185 0.000
0.275 0.685 0.500
0.725 0.315 0.500
0.775 0.815 0.000
0.000 0.500 0.000
0.500 0.000 0.500
0.223 0.353 0.500
0.277 0.853 0.000
0.723 0.147 0.000
0.777 0.647 0.500
```


No. 5
Here is an optimized crystal structure of Pm6Pr3Sm2Y from Alexandria via LeMat-Bulk. Energies are from PBE-GGA.

Geometry as POSCAR:
```
Pm6Pr3Sm2Y
1.0
3.171 -5.491 0.000
3.171 5.491 0.000
-2.122 0.000 11.950
Pm Pr Sm Y
6 3 2 1
direct
0.084 0.418 0.753
0.249 0.249 0.247
0.418 0.084 0.753
0.582 0.916 0.247
0.751 0.751 0.753
0.916 0.582 0.247
0.000 0.000 0.500
0.333 0.667 0.500
0.667 0.333 0.500
0.167 0.833 0.000
0.833 0.167 0.000
0.500 0.500 0.000
```


No. 6
Here is an optimized crystal structure of PmPrSm2Y from Alexandria via LeMat-Bulk. Energies are from PBE-GGA.

Geometry as POSCAR:
```
PmPrSm2Y
1.0
8.377 0.000 0.000
0.000 6.653 0.000
-0.363 0.000 6.297
Pm Pr Sm Y
2 2 4 2
direct
0.000 0.069 0.250
0.000 0.931 0.750
0.000 0.500 0.000
0.000 0.500 0.500
0.309 0.191 0.731
0.309 0.809 0.231
0.691 0.191 0.769
0.691 0.809 0.269
0.500 0.334 0.250
0.500 0.666 0.750
```


No. 7
Here is an optimized crystal structure of PmPrSmY from Alexandria via LeMat-Bulk. Energies are from PBE-GGA.

Properties
distance to the lowest polymorph of the same formula: 0.000 eV/atom

Geometry as POSCAR:
```
PmPrSmY
1.0
5.159 0.000 0.000
0.000 5.159 0.000
0.000 0.000 10.283
Pm Pr Sm Y
2 2 2 2
direct
0.000 0.000 0.000
0.500 0.500 0.500
0.000 0.500 0.750
0.500 0.000 0.250
0.000 0.000 0.500
0.500 0.500 0.000
0.000 0.500 0.250
0.500 0.000 0.750
```


No. 8
Here is an optimized crystal structure of Pm5Pr2SmY from Alexandria via LeMat-Bulk. Energies are from PBE-GGA.

Geometry as POSCAR:
```
Pm5Pr2SmY
1.0
-4.392 4.392 8.149
4.392 -4.392 8.149
4.392 4.392 -8.149
Pm Pr Sm Y
10 4 2 2
direct
0.000 0.000 0.000
0.073 0.573 0.929
0.144 0.073 0.500
0.356 0.856 0.929
0.427 0.356 0.500
0.500 0.500 0.000
0.573 0.644 0.500
0.644 0.144 0.071
0.856 0.927 0.500
0.927 0.427 0.071
0.120 0.380 0.500
0.380 0.880 0.261
0.620 0.120 0.739
0.880 0.620 0.500
0.250 0.250 0.000
0.750 0.750 0.000
0.250 0.750 0.500
0.750 0.250 0.500
```


No. 9
Here is an optimized crystal structure of Pm2PrSmY from Alexandria via LeMat-Bulk. Energies are from PBE-GGA.

Geometry as POSCAR:
```
Pm2PrSmY
1.0
4.233 -5.920 0.000
4.233 5.920 0.000
0.000 0.000 7.252
Pm Pr Sm Y
4 2 2 2
direct
0.189 0.189 0.000
0.189 0.189 0.500
0.811 0.811 0.000
0.811 0.811 0.500
0.223 0.777 0.750
0.777 0.223 0.250
0.485 0.515 0.750
0.515 0.485 0.250
0.236 0.764 0.250
0.764 0.236 0.750
```


No. 10
Here is an optimized crystal structure of Pm2PrSm6Y3 from Alexandria via LeMat-Bulk. Energies are from PBE-GGA.

Geometry as POSCAR:
```
Pm2PrSm6Y3
1.0
3.143 -5.444 0.000
3.143 5.444 0.000
-2.092 0.000 11.823
Pm Pr Sm Y
2 1 6 3
direct
0.167 0.833 0.000
0.833 0.167 0.000
0.500 0.500 0.000
0.082 0.415 0.747
0.251 0.251 0.253
0.415 0.082 0.747
0.585 0.918 0.253
0.749 0.749 0.747
0.918 0.585 0.253
0.000 0.000 0.500
0.333 0.667 0.500
0.667 0.333 0.500
```


No. 11
Here is an optimized crystal structure of Pm2PrSmY5 from Alexandria via LeMat-Bulk. Energies are from PBE-GGA.

Geometry as POSCAR:
```
Pm2PrSmY5
1.0
-4.399 4.399 7.783
4.399 -4.399 7.783
4.399 4.399 -7.783
Pm Pr Sm Y
4 2 2 10
direct
0.116 0.616 0.733
0.384 0.116 0.500
0.616 0.884 0.500
0.884 0.384 0.267
0.250 0.250 0.000
0.750 0.750 0.000
0.250 0.750 0.500
0.750 0.250 0.500
0.000 0.000 0.000
0.072 0.156 0.500
0.156 0.656 0.085
0.344 0.428 0.500
0.428 0.928 0.085
0.500 0.500 0.000
0.572 0.072 0.915
0.656 0.572 0.500
0.844 0.344 0.915
0.928 0.844 0.500
```


No. 12
Here is an optimized crystal structure of PmPr2Sm2Y6 from Alexandria via LeMat-Bulk. Energies are from PBE-GGA.

Geometry as POSCAR:
```
PmPr2Sm2Y6
1.0
3.151 -5.306 0.000
3.151 5.306 0.000
-1.488 0.000 11.572
Pm Pr Sm Y
1 2 2 6
direct
0.000 0.000 0.000
0.179 0.821 0.500
0.821 0.179 0.500
0.337 0.663 0.000
0.663 0.337 0.000
0.066 0.400 0.246
0.270 0.270 0.742
0.400 0.066 0.246
0.600 0.934 0.754
0.730 0.730 0.258
0.934 0.600 0.754
```


No. 13
Here is an optimized crystal structure of PmPrSmZn from Alexandria via LeMat-Bulk. Energies are from PBE-GGA.

Properties
distance to the lowest polymorph of the same formula: 0.219 eV/atom

Geometry as POSCAR:
```
PmPrSmZn
1.0
7.754 0.000 0.000
0.000 7.754 0.000
0.000 0.000 7.754
Pm Pr Sm Zn
4 4 4 4
direct
0.000 0.000 0.000
0.000 0.500 0.500
0.500 0.000 0.500
0.500 0.500 0.000
0.250 0.250 0.750
0.250 0.750 0.250
0.750 0.250 0.250
0.750 0.750 0.750
0.250 0.250 0.250
0.250 0.750 0.750
0.750 0.250 0.750
0.750 0.750 0.250
0.000 0.000 0.500
0.000 0.500 0.000
0.500 0.000 0.000
0.500 0.500 0.500
```


No. 14
Here is an optimized crystal structure of PmPrSmZn from Alexandria via LeMat-Bulk. Energies are from PBE-GGA.

Properties
distance to the lowest polymorph of the same formula: 0.000 eV/atom

Geometry as POSCAR:
```
PmPrSmZn
1.0
3.668 0.000 0.000
0.000 3.668 0.000
0.000 0.000 8.845
Pm Pr Sm Zn
1 1 1 1
direct
0.000 0.000 0.000
0.500 0.500 0.703
0.000 0.000 0.408
0.500 0.500 0.206
```


No. 15
Here is an optimized crystal structure of Pm5PrSn2 from Alexandria via LeMat-Bulk. Energies are from PBE-GGA.

Geometry as POSCAR:
```
Pm5PrSn2
1.0
4.652 0.000 0.000
0.000 10.021 0.000
0.000 0.000 11.373
Pm Pr Sn
10 2 4
direct
0.000 0.000 0.000
0.000 0.313 0.344
0.000 0.313 0.656
0.000 0.687 0.344
0.000 0.687 0.656
0.500 0.187 0.156
0.500 0.187 0.844
0.500 0.500 0.500
0.500 0.813 0.156
0.500 0.813 0.844
0.000 0.500 0.000
0.500 0.000 0.500
0.000 0.000 0.290
0.000 0.000 0.710
0.500 0.500 0.210
0.500 0.500 0.790
```


No. 16
Here is an optimized crystal structure of PmPr9Sn2 from Alexandria via LeMat-Bulk. Energies are from PBE-GGA.

Geometry as POSCAR:
```
PmPr9Sn2
1.0
5.029 0.000 0.000
0.000 5.029 0.000
0.000 0.000 15.519
Pm Pr Sn
1 9 2
direct
0.000 0.000 0.000
0.000 0.500 0.177
0.000 0.500 0.500
0.000 0.500 0.823
0.500 0.000 0.177
0.500 0.000 0.500
0.500 0.000 0.823
0.500 0.500 0.000
0.500 0.500 0.340
0.500 0.500 0.660
0.000 0.000 0.338
0.000 0.000 0.662
```


No. 17
Here is an optimized crystal structure of Pm3PrSn2 from Alexandria via LeMat-Bulk. Energies are from PBE-GGA.

Properties
distance to the lowest polymorph of the same formula: 0.317 eV/atom

Geometry as POSCAR:
```
Pm3PrSn2
1.0
3.963 2.288 7.500
-3.963 2.288 7.500
0.000 -4.576 7.500
Pm Pr Sn
6 2 4
direct
0.022 0.750 0.478
0.250 0.522 0.978
0.478 0.022 0.750
0.522 0.978 0.250
0.750 0.478 0.022
0.978 0.250 0.522
0.000 0.000 0.000
0.500 0.500 0.500
0.145 0.145 0.145
0.355 0.355 0.355
0.645 0.645 0.645
0.855 0.855 0.855
```


No. 18
Here is an optimized crystal structure of PmPr3Sn from Alexandria via LeMat-Bulk. Energies are from PBE-GGA.

Geometry as POSCAR:
```
PmPr3Sn
1.0
4.164 -8.016 0.000
4.164 8.016 0.000
0.000 0.000 5.328
Pm Pr Sn
2 6 2
direct
0.091 0.909 0.000
0.909 0.091 0.000
0.000 0.500 0.000
0.163 0.837 0.500
0.326 0.326 0.000
0.500 0.000 0.000
0.674 0.674 0.000
0.837 0.163 0.500
0.366 0.634 0.500
0.634 0.366 0.500
```


No. 19
Here is an optimized crystal structure of Pm12PrSn7 from Alexandria via LeMat-Bulk. Energies are from PBE-GGA.

Geometry as POSCAR:
```
Pm12PrSn7
1.0
7.865 4.541 2.969
-7.865 4.541 2.969
0.000 -9.081 2.969
Pm Pr Sn
12 1 7
direct
0.000 0.273 0.727
0.000 0.727 0.273
0.161 0.491 0.491
0.273 0.000 0.727
0.273 0.727 0.000
0.491 0.161 0.491
0.491 0.491 0.161
0.509 0.509 0.839
0.509 0.839 0.509
0.727 0.000 0.273
0.727 0.273 0.000
0.839 0.509 0.509
0.000 0.000 0.000
0.138 0.138 0.452
0.138 0.452 0.138
0.452 0.138 0.138
0.500 0.500 0.500
0.548 0.862 0.862
0.862 0.548 0.862
0.862 0.862 0.548
```


No. 20
Here is an optimized crystal structure of PmPr2Sn5 from Alexandria via LeMat-Bulk. Energies are from PBE-GGA.

Geometry as POSCAR:
```
PmPr2Sn5
1.0
7.377 0.000 0.000
0.000 7.377 0.000
0.000 0.000 8.285
Pm Pr Sn
2 4 10
direct
0.000 0.000 0.000
0.500 0.500 0.500
0.000 0.500 0.091
0.000 0.500 0.591
0.500 0.000 0.091
0.500 0.000 0.591
0.000 0.000 0.602
0.214 0.214 0.334
0.214 0.786 0.334
0.286 0.286 0.834
0.286 0.714 0.834
0.500 0.500 0.102
0.714 0.286 0.834
0.714 0.714 0.834
0.786 0.214 0.334
0.786 0.786 0.334
```


Energy relative to the elements? In order: 2.6 0.1 1.2 1.6 0.2 1.3 0.1 2.4 1.9 0.2 2.2 2.0 0.3 -0.6 -2.5 -3.4 -1.5 1.3 -9.1 -5.0 eV per formula unit.
Size of the total moment? In order: 0.0 0.0 0.0 0.0 0.0 0.0 0.0 0.0 0.0 0.0 0.0 0.0 0.0 0.0 0.0 0.0 0.0 0.0 0.0 0.0 μB/cell.